# GeHPbAu2

GeHPbAu2 after structural relaxation (PBE, Alexandria).

Structure (POSCAR):
```
GeHPbAu2
1.0
5.388 0.000 0.000
0.000 5.522 0.000
0.000 0.000 5.388
Pb H Ge Au
1 1 1 2
Cartesian
0.000 0.000 0.000 Pb
2.694 2.761 2.694 H
0.000 2.761 0.000 Ge
0.000 0.000 2.694 Au
2.694 0.000 0.000 Au
```

Results
Its total energy is -0.092 hartree per atom. The total magnetization comes out at 0.8 μB/f.u. As for the space group: P4/mmm (123). As for the polymorph energy (0 for the lowest one): 1029 meV/atom.

# GeHPbAu2

GeHPbAu2 after structural relaxation (PBE, Alexandria).

Structure (POSCAR):
```
GeHPbAu2
1.0
-0.190 3.288 4.004
-2.324 -3.636 2.875
3.199 -1.167 1.110
Pb H Ge Au
1 1 1 2
Cartesian
0.342 -0.757 3.995 Pb
1.599 -0.584 0.555 H
0.000 0.000 0.000 Ge
-1.162 -1.818 1.438 Au
-0.095 1.644 2.002 Au
```

Results
Its total energy is -0.130 hartree per atom. The total magnetization comes out at 0.0 μB/f.u. As for the space group: P4/mmm (123). As for the polymorph energy (0 for the lowest one): 0 meV/atom.

# GeHPd2Au

GeHPd2Au after structural relaxation (PBE, Alexandria).

Structure (POSCAR):
```
GeHPd2Au
1.0
-2.331 1.913 2.523
2.336 -1.076 2.974
2.449 3.737 -0.571
H Ge Au Pd
1 1 1 2
Cartesian
0.000 0.000 0.000 H
1.224 1.869 -0.285 Ge
1.227 2.287 2.463 Au
1.168 -0.538 1.487 Pd
-1.166 0.957 1.261 Pd
```

Results
Its total energy is -0.159 hartree per atom. The total magnetization comes out at 0.0 μB/f.u. As for the space group: P4/mmm (123).

# PrGeHAu

PrGeHAu after structural relaxation (PBE, Alexandria).

Structure (POSCAR):
```
PrGeHAu
1.0
4.447 0.000 0.000
-2.223 3.851 0.007
0.000 -0.008 4.218
Pr Ge H Au
1 1 1 1
Cartesian
2.223 3.115 3.351 Pr
2.223 0.551 1.461 Ge
0.000 1.831 3.529 H
0.000 1.836 1.119 Au
```

Results
Its total energy is -0.169 hartree per atom. The total magnetization comes out at 0.0 μB/f.u. As for the space group: P3m1 (156).

# RbGeHAu2

RbGeHAu2 after structural relaxation (PBE, Alexandria).

Structure (POSCAR):
```
RbGeHAu2
1.0
-4.902 -1.909 0.131
1.280 -3.540 -3.677
1.071 -2.557 2.834
H Ge Au Rb
1 1 2 1
Cartesian
0.536 -1.278 1.417 H
0.000 0.000 0.000 Ge
0.640 -1.770 -1.838 Au
-2.451 -0.954 0.066 Au
-1.275 -4.002 -0.356 Rb
```

Results
Its total energy is -0.113 hartree per atom. The total magnetization comes out at 0.0 μB/f.u. As for the space group: P4/mmm (123).

# ZnGeHAuSe

ZnGeHAuSe after structural relaxation (PBE, Alexandria).

Structure (POSCAR):
```
ZnGeHAuSe
1.0
4.586 -0.003 0.000
2.193 4.481 0.001
1.385 1.492 5.553
Zn Ge H Au Se
1 1 1 1 1
Cartesian
1.992 3.694 0.260 Zn
5.034 3.455 5.504 Ge
5.195 2.372 0.117 H
4.665 1.847 3.701 Au
3.336 0.549 2.004 Se
```

Results
Its total energy is -0.118 hartree per atom. The total magnetization comes out at 0.0 μB/f.u. As for the space group: P1 (1). As for the polymorph energy (0 for the lowest one): 94 meV/atom.